Version w
A plane-wave DFT calculation with PBE was carried out for crystalline TbMg3Cd3 at its relaxed geometry.

a b c (Å): 7.5218 7.5218 7.5218
angles (deg): 90.00 90.00 90.00
Closest atoms and distances in Å follow each position.
Positions (direct):
Mg (0.2500, 0.5000, 0.0000)  4 Cd 2.66
Mg (0.5000, 0.0000, 0.7500)  4 Cd 2.66
Mg (0.0000, 0.7500, 0.5000)  4 Cd 2.66
Mg (0.0000, 0.2500, 0.5000)  4 Cd 2.66
Mg (0.7500, 0.5000, 0.0000)  4 Cd 2.66
Mg (0.5000, 0.0000, 0.2500)  4 Cd 2.66
Cd (0.5000, 0.7500, 0.0000)  4 Mg 2.66
Cd (0.0000, 0.5000, 0.2500)  4 Mg 2.66
Cd (0.0000, 0.5000, 0.7500)  4 Mg 2.66
Cd (0.2500, 0.0000, 0.5000)  4 Mg 2.66
Cd (0.7500, 0.0000, 0.5000)  4 Mg 2.66
Cd (0.5000, 0.2500, 0.0000)  4 Mg 2.66
Tb (0.5000, 0.5000, 0.5000)  12 Cd 4.20, 12 Mg 4.20
Tb (0.0000, 0.0000, 0.0000)  12 Mg 4.20, 12 Cd 4.20

SG: Pm-3n
Magnetization in μB/f.u.: 0.00

=====

Version x
A plane-wave DFT calculation with PBE was carried out for crystalline TbMg3Cd3 at its relaxed geometry.

a b c (Å): 8.7189 8.7189 8.7189
angles (deg): 90.00 90.00 90.00
Closest atoms and distances in Å follow each position.
Positions (direct):
Cd (0.3979, 0.5068, 0.8125)  6 Mg 2.94-3.08, 2 Cd 3.15, 1 Tb 3.22
Cd (0.1875, 0.8979, 0.9932)  6 Mg 2.94-3.08, 2 Cd 3.15, 1 Tb 3.22
Cd (0.8979, 0.9932, 0.1875)  6 Mg 2.94-3.08, 2 Cd 3.15, 1 Tb 3.22
Cd (0.4932, 0.3125, 0.1021)  6 Mg 2.94-3.08, 2 Cd 3.15, 1 Tb 3.22
Cd (0.8125, 0.3979, 0.5068)  6 Mg 2.94-3.08, 2 Cd 3.15, 1 Tb 3.22
Cd (0.6021, 0.0068, 0.6875)  6 Mg 2.94-3.08, 2 Cd 3.15, 1 Tb 3.22
Cd (0.1021, 0.4932, 0.3125)  6 Mg 2.94-3.08, 2 Cd 3.15, 1 Tb 3.22
Cd (0.3125, 0.1021, 0.4932)  6 Mg 2.94-3.08, 2 Cd 3.15, 1 Tb 3.22
Cd (0.9932, 0.1875, 0.8979)  6 Mg 2.94-3.08, 2 Cd 3.15, 1 Tb 3.22
Cd (0.5068, 0.8125, 0.3979)  6 Mg 2.94-3.08, 2 Cd 3.15, 1 Tb 3.22
Cd (0.6875, 0.6021, 0.0068)  6 Mg 2.94-3.08, 2 Cd 3.15, 1 Tb 3.22
Cd (0.0068, 0.6875, 0.6021)  6 Mg 2.94-3.08, 2 Cd 3.15, 1 Tb 3.22
Mg (0.3702, 0.6298, 0.1298)  6 Cd 2.98-3.07, 1 Mg 3.03, 3 Tb 3.28
Mg (0.3089, 0.8089, 0.6911)  6 Cd 2.94-3.08
Mg (0.8702, 0.8702, 0.8702)  6 Cd 2.98-3.07, 1 Mg 3.03, 3 Tb 3.28
Mg (0.1298, 0.3702, 0.6298)  6 Cd 2.98-3.07, 1 Mg 3.03, 3 Tb 3.28
Mg (0.1911, 0.1911, 0.1911)  6 Cd 2.94-3.08
Mg (0.1697, 0.8303, 0.3303)  6 Cd 3.00-3.03, 1 Mg 3.03, 1 Tb 3.29
Mg (0.6911, 0.3089, 0.8089)  6 Cd 2.94-3.08
Mg (0.6697, 0.6697, 0.6697)  6 Cd 3.00-3.03, 1 Mg 3.03, 1 Tb 3.29
Mg (0.6298, 0.1298, 0.3702)  6 Cd 2.98-3.07, 1 Mg 3.03, 3 Tb 3.28
Mg (0.3303, 0.1697, 0.8303)  6 Cd 3.00-3.03, 1 Mg 3.03, 1 Tb 3.29
Mg (0.8089, 0.6911, 0.3089)  6 Cd 2.94-3.08
Mg (0.8303, 0.3303, 0.1697)  6 Cd 3.00-3.03, 1 Mg 3.03, 1 Tb 3.29
Tb (0.9516, 0.0484, 0.5484)  6 Cd 3.22-3.30, 4 Mg 3.28-3.29
Tb (0.4516, 0.4516, 0.4516)  6 Cd 3.22-3.30, 4 Mg 3.28-3.29
Tb (0.0484, 0.5484, 0.9516)  6 Cd 3.22-3.30, 4 Mg 3.28-3.29
Tb (0.5484, 0.9516, 0.0484)  6 Cd 3.22-3.30, 4 Mg 3.28-3.29

SG: P2_13
Magnetization in μB/f.u.: 0.00

=====

Energetically preferred structure: version x | next structure: +0.579 eV/atom

=====

Version w
A plane-wave DFT calculation with PBE was carried out for crystalline TbMg2Cd3 at its relaxed geometry.

a b c (Å): 6.1708 6.9768 6.9768
angles (deg): 77.06 90.00 90.00
Closest atoms and distances in Å follow each position.
Positions (direct):
Cd (0.7500, 0.5804, 0.1472)  4 Mg 2.85-3.07, 2 Cd 2.95-2.97
Cd (0.2500, 0.1472, 0.5804)  4 Mg 2.85-3.07, 2 Cd 2.95-2.97
Cd (0.2500, 0.9903, 0.0097)  4 Mg 2.93, 4 Cd 2.95-3.09, 1 Tb 3.14
Cd (0.7500, 0.8528, 0.4196)  4 Mg 2.85-3.07, 2 Cd 2.95-2.97
Cd (0.2500, 0.4196, 0.8528)  4 Mg 2.85-3.07, 2 Cd 2.95-2.97
Cd (0.7500, 0.0097, 0.9903)  4 Mg 2.93, 4 Cd 2.95-3.09, 1 Tb 3.14
Mg (0.0000, 0.2279, 0.2279)  6 Cd 2.85-3.07, 2 Mg 3.09
Mg (0.5000, 0.2279, 0.2279)  6 Cd 2.85-3.07, 2 Mg 3.09
Mg (0.5000, 0.7721, 0.7721)  6 Cd 2.85-3.07, 2 Mg 3.09
Mg (0.0000, 0.7721, 0.7721)  6 Cd 2.85-3.07, 2 Mg 3.09
Tb (0.2500, 0.6287, 0.3713)  7 Cd 3.14-3.51
Tb (0.7500, 0.3713, 0.6287)  7 Cd 3.14-3.51

SG: Cmcm
Magnetization in μB/f.u.: 0.00

=====

Version x
A plane-wave DFT calculation with PBE was carried out for crystalline TbMg2Cd3 at its relaxed geometry.

a b c (Å): 4.9189 4.9189 13.3263
angles (deg): 90.00 90.00 120.00
Closest atoms and distances in Å follow each position.
Positions (direct):
Cd (0.6667, 0.3333, 0.8643)  4 Mg 2.88-3.12, 1 Cd 3.05, 3 Tb 3.22
Cd (0.0000, 0.0000, 0.0000)  6 Mg 3.13, 2 Tb 3.33, 6 Cd 3.37
Cd (0.3333, 0.6667, 0.1357)  4 Mg 2.88-3.12, 1 Cd 3.05, 3 Tb 3.22
Cd (0.3333, 0.6667, 0.3643)  4 Mg 2.88-3.12, 1 Cd 3.05, 3 Tb 3.22
Cd (0.6667, 0.3333, 0.6357)  4 Mg 2.88-3.12, 1 Cd 3.05, 3 Tb 3.22
Cd (0.0000, 0.0000, 0.5000)  6 Mg 3.13, 2 Tb 3.33, 6 Cd 3.37
Mg (0.6667, 0.3333, 0.4012)  7 Cd 2.88-3.13
Mg (0.6667, 0.3333, 0.0988)  7 Cd 2.88-3.13
Mg (0.3333, 0.6667, 0.9012)  7 Cd 2.88-3.13
Mg (0.3333, 0.6667, 0.5988)  7 Cd 2.88-3.13
Tb (0.0000, 0.0000, 0.2500)  8 Cd 3.22-3.33, 6 Mg 3.48
Tb (0.0000, 0.0000, 0.7500)  8 Cd 3.22-3.33, 6 Mg 3.48

SG: P6_3/mmc
Magnetization in μB/f.u.: 0.00

=====

Energetically preferred structure: version x | next structure: +0.092 eV/atom